1.
Computed, not measured: La2HO after structural relaxation at the PBE level of DFT.

Summary:
Its symmetry is Fm-3m.

abc: 4.5640 4.5640 4.5640
angles: 60.00 60.00 60.00
Fractional positions:
H 0.0000 0.0000 0.0000
La 0.7500 0.7500 0.7500
La 0.2500 0.2500 0.2500
O 0.5000 0.5000 0.5000

***

2.
Computed, not measured: TlFeAs2Br after structural relaxation at the PBE level of DFT.

Summary:
The uncorrected formation energy comes out at 1.240 eV per atom. Its symmetry is P4/mmm.

abc: 5.3545 5.1978 5.3545
angles: 90.00 90.00 90.00
Fractional positions:
Br 0.5000 0.5000 0.5000
As 0.0000 0.0000 0.5000
As 0.5000 0.0000 0.0000
Tl 0.0000 0.0000 0.0000
Fe 0.0000 0.5000 0.0000

***

3.
Computed, not measured: TbPrInGa after structural relaxation at the PBE level of DFT.

Summary:
Its symmetry is F-43m. The formation energy from the elements comes out at -0.497 eV/atom.

abc: 5.3113 5.3113 5.3113
angles: 60.00 60.00 60.00
Fractional positions:
Pr 0.5000 0.5000 0.5000
Ga 0.7500 0.7500 0.7500
Tb 0.0000 0.0000 0.0000
In 0.2500 0.2500 0.2500

***

Going through the records in order, we get distance to the lowest polymorph of the same formula values of 622 1146 27 meV per atom.